Entry from Alexandria: crystalline LaPrGdCd at its relaxed geometry (PBE).

As for the symmetry: F-43m (216). The formation energy from the elements comes out at -0.06 eV/atom.

Structure (POSCAR):
```
LaPrGdCd
1.0
7.961 0.000 0.000
0.000 7.961 0.000
0.000 0.000 7.961
La Pr Gd Cd
4 4 4 4
Cartesian
0.000 0.000 0.000
0.000 3.980 3.980
3.980 0.000 3.980
3.980 3.980 0.000
0.000 0.000 3.980
0.000 3.980 0.000
3.980 0.000 0.000
3.980 3.980 3.980
1.990 1.990 1.990
1.990 5.971 5.971
5.971 1.990 5.971
5.971 5.971 1.990
1.990 1.990 5.971
1.990 5.971 1.990
5.971 1.990 1.990
5.971 5.971 5.971
```